# TeAsIr2 | the Alexandria database | PBE-GGA | optimized geometry
# - energy above the most stable polymorph in this dataset (meV per atom) = 258
# - ΔE_f (raw) (meV per atom) = 126
# - crystal system = tetragonal
data_TeAsIr2
_chemical_formula_sum 'Te1 As1 Ir2'
_symmetry_space_group_name_H-M 'P 4 m m'
_symmetry_Int_Tables_number 99
_symmetry_space_group_name_Hall 'P 4 -2'
_cell_length_a 3.5864
_cell_length_b 3.5864
_cell_length_c 5.7739
_cell_angle_alpha 90.00
_cell_angle_beta 90.00
_cell_angle_gamma 90.00
loop_
_atom_site_label
_atom_site_type_symbol
_atom_site_fract_x
_atom_site_fract_y
_atom_site_fract_z
Te1 Te 0.0000 0.0000 0.0000
As1 As 0.5000 0.5000 0.4181
Ir1 Ir 0.0000 0.0000 0.5420
Ir2 Ir 0.5000 0.5000 0.8364

=====

# MgPa2CdO8 | the Alexandria database | PBE-GGA | optimized geometry
# - ΔE_f (raw) (meV per atom) = -2543
# - crystal system = tetragonal
data_MgPa2CdO8
_chemical_formula_sum 'Mg2 Pa4 Cd2 O16'
_symmetry_space_group_name_H-M 'I -4'
_symmetry_Int_Tables_number 82
_symmetry_space_group_name_Hall 'I -4'
_cell_length_a 5.3525
_cell_length_b 5.3525
_cell_length_c 10.6712
_cell_angle_alpha 90.00
_cell_angle_beta 90.00
_cell_angle_gamma 90.00
loop_
_atom_site_label
_atom_site_type_symbol
_atom_site_fract_x
_atom_site_fract_y
_atom_site_fract_z
Mg1 Mg 0.0000 0.0000 0.0000
Pa1 Pa 0.0000 0.0000 0.5000
Pa2 Pa 0.0000 0.5000 0.2500
Cd1 Cd 0.0000 0.5000 0.7500
O1 O 0.2404 0.2556 0.3777
O2 O 0.2411 0.7426 0.3787

=====

# Y2GaC | the Alexandria database | PBE-GGA | optimized geometry
# - formation enthalpy at 0 K (eV/atom) = 0.343
# - crystal system = cubic
data_Y2GaC
_chemical_formula_sum 'Y8 Ga4 C4'
_symmetry_space_group_name_H-M 'F m -3 m'
_symmetry_Int_Tables_number 225
_symmetry_space_group_name_Hall '-F 4 2 3'
_cell_length_a 6.7830
_cell_length_b 6.7830
_cell_length_c 6.7830
_cell_angle_alpha 90.00
_cell_angle_beta 90.00
_cell_angle_gamma 90.00
loop_
_atom_site_label
_atom_site_type_symbol
_atom_site_fract_x
_atom_site_fract_y
_atom_site_fract_z
Y1 Y 0.2500 0.2500 0.2500
Ga1 Ga 0.0000 0.0000 0.0000
C1 C 0.0000 0.0000 0.5000

=====

# ThSnP2 | the Alexandria database | PBE-GGA | optimized geometry
# - formation enthalpy at 0 K (eV/atom) = 0.188
# - energy above the most stable polymorph in this dataset (meV per atom) = 867
# - crystal system = trigonal
data_ThSnP2
_chemical_formula_sum 'Th3 Sn3 P6'
_symmetry_space_group_name_H-M 'R -3 m'
_symmetry_Int_Tables_number 166
_symmetry_space_group_name_Hall '-R 3 2"'
_cell_length_a 3.8190
_cell_length_b 3.8190
_cell_length_c 25.8578
_cell_angle_alpha 90.00
_cell_angle_beta 90.00
_cell_angle_gamma 120.00
loop_
_atom_site_label
_atom_site_type_symbol
_atom_site_fract_x
_atom_site_fract_y
_atom_site_fract_z
Th1 Th 0.0000 0.0000 0.0000
Sn1 Sn 0.0000 0.0000 0.5000
P1 P 0.0000 0.0000 0.1075

=====

# AlTlCuTc2 | the Alexandria database | PBE-GGA | optimized geometry
# - formation enthalpy at 0 K (eV/atom) = 1.090
# - crystal system = tetragonal
data_AlTlCuTc2
_chemical_formula_sum 'Al1 Tl1 Cu1 Tc2'
_symmetry_space_group_name_H-M 'P 4/m m m'
_symmetry_Int_Tables_number 123
_symmetry_space_group_name_Hall '-P 4 2'
_cell_length_a 4.6695
_cell_length_b 4.6695
_cell_length_c 4.3405
_cell_angle_alpha 90.00
_cell_angle_beta 90.00
_cell_angle_gamma 90.00
loop_
_atom_site_label
_atom_site_type_symbol
_atom_site_fract_x
_atom_site_fract_y
_atom_site_fract_z
Al1 Al 0.0000 0.0000 0.0000
Tl1 Tl 0.5000 0.5000 0.0000
Cu1 Cu 0.0000 0.0000 0.5000
Tc1 Tc 0.0000 0.5000 0.5000

=====

# AsPbAu2 | the Alexandria database | PBE-GGA | optimized geometry
# - formation enthalpy at 0 K (eV/atom) = 0.176
# - crystal system = tetragonal
data_AsPbAu2
_chemical_formula_sum 'As2 Pb2 Au4'
_symmetry_space_group_name_H-M 'I -4 m 2'
_symmetry_Int_Tables_number 119
_symmetry_space_group_name_Hall 'I -4 -2'
_cell_length_a 4.4632
_cell_length_b 4.4632
_cell_length_c 8.6241
_cell_angle_alpha 90.00
_cell_angle_beta 90.00
_cell_angle_gamma 90.00
loop_
_atom_site_label
_atom_site_type_symbol
_atom_site_fract_x
_atom_site_fract_y
_atom_site_fract_z
As1 As 0.0000 0.0000 0.0000
Pb1 Pb 0.0000 0.5000 0.2500
Au1 Au 0.0000 0.0000 0.5000
Au2 Au 0.0000 0.5000 0.7500

=====

# AgRhSe2 | the Alexandria database | PBE-GGA | optimized geometry
# - ΔE_f (raw) (meV per atom) = -277
# - crystal system = hexagonal
data_AgRhSe2
_chemical_formula_sum 'Ag2 Rh2 Se4'
_symmetry_space_group_name_H-M 'P 63/m m c'
_symmetry_Int_Tables_number 194
_symmetry_space_group_name_Hall '-P 6c 2c'
_cell_length_a 3.7508
_cell_length_b 3.7508
_cell_length_c 15.0934
_cell_angle_alpha 90.00
_cell_angle_beta 90.00
_cell_angle_gamma 120.00
loop_
_atom_site_label
_atom_site_type_symbol
_atom_site_fract_x
_atom_site_fract_y
_atom_site_fract_z
Ag1 Ag 0.3333 0.6667 0.2500
Rh1 Rh 0.0000 0.0000 0.0000
Se1 Se 0.3333 0.6667 0.0831

=====

# HoTmCdCu | the Alexandria database | PBE-GGA | optimized geometry
# - formation enthalpy at 0 K (eV/atom) = -0.288
# - energy above the most stable polymorph in this dataset (meV per atom) = 0
# - crystal system = tetragonal
data_HoTmCdCu
_chemical_formula_sum 'Ho1 Tm1 Cd1 Cu1'
_symmetry_space_group_name_H-M 'P 4 m m'
_symmetry_Int_Tables_number 99
_symmetry_space_group_name_Hall 'P 4 -2'
_cell_length_a 3.4714
_cell_length_b 3.4714
_cell_length_c 7.6158
_cell_angle_alpha 90.00
_cell_angle_beta 90.00
_cell_angle_gamma 90.00
loop_
_atom_site_label
_atom_site_type_symbol
_atom_site_fract_x
_atom_site_fract_y
_atom_site_fract_z
Ho1 Ho 0.0000 0.0000 0.0000
Tm1 Tm 0.0000 0.0000 0.5588
Cd1 Cd 0.5000 0.5000 0.2822
Cu1 Cu 0.5000 0.5000 0.7744

=====

no.,uncorrected energy (eV/cell),calculated density (g cm⁻³)
1,-25.01,13.1
2,-183.36,7.9
3,-95.23,5.5
4,-64.47,6.3
5,-25.49,8.6
6,-28.41,13.1
7,-36.56,6.7
8,-15.21,9.2